No. 1
The following is a DFT calculation (PBE-GGA) of an optimized crystal structure of Ba3P2.

Cell: 6.0442 6.0442 6.0442 Å, 90.00 90.00 90.00°
Sites, in units of the cell vectors:
Ba  0.0000  0.5000  0.5000
Ba  0.5000  0.0000  0.5000
Ba  0.5000  0.5000  0.0000
P  0.0000  0.0000  0.0000
P  0.5000  0.5000  0.5000

Output
Total moment, μB/cell: 0.000
Excess energy over the best structure of this formula in the dataset, meV/atom: 445
Calculated volume, Å³ per atom: 44.16
Formation energy from the elements, kJ per mole of atoms: -51.86

---

No. 2
The following is a DFT calculation (PBE-GGA) of an optimized crystal structure of Li3BeH5.

Cell: 5.6355 5.6355 5.8765 Å, 118.65 118.65 90.00°
Sites, in units of the cell vectors:
Li  0.6812  0.1812  0.0000
Li  0.3188  0.8188  0.0000
Li  0.8188  0.6812  0.0000
Li  0.1812  0.3188  0.0000
Li  0.2500  0.2500  0.5000
Li  0.7500  0.7500  0.5000
Be  0.7500  0.2500  0.5000
Be  0.2500  0.7500  0.5000
H  0.9895  0.4895  0.6993
H  0.7098  0.2098  0.6993
H  0.2098  0.9895  0.6993
H  0.4895  0.7098  0.6993
H  0.0105  0.5105  0.3007
H  0.2902  0.7902  0.3007
H  0.7902  0.0105  0.3007
H  0.5105  0.2902  0.3007
H  0.5000  0.5000  0.0000
H  0.0000  0.0000  0.0000

Output
Energy, eV per atom: -3.21
Total moment, μB/cell: 0.000
Calculated volume, Å³ per atom: 7.62

---

No. 3
The following is a DFT calculation (PBE-GGA) of an optimized crystal structure of BeSnPd6.

Cell: 7.1201 6.7348 4.8581 Å, 55.67 46.04 49.16°
Sites, in units of the cell vectors:
Be  0.0000  0.0000  0.0000
Sn  0.5000  0.5000  0.5000
Pd  0.0222  0.3711  0.8265
Pd  0.7883  0.9439  0.6425
Pd  0.5538  0.2334  0.1472
Pd  0.2117  0.0561  0.3575
Pd  0.9778  0.6289  0.1735
Pd  0.4462  0.7666  0.8528

Output
Total moment, μB/cell: 0.000
Calculated volume, Å³ per atom: 15.53
Formation energy from the elements, kJ per mole of atoms: -30.30

---

Repeat the first record exactly.
The following is a DFT calculation (PBE-GGA) of an optimized crystal structure of Ba3P2.

Cell: 6.0442 6.0442 6.0442 Å, 90.00 90.00 90.00°
Sites, in units of the cell vectors:
Ba  0.0000  0.5000  0.5000
Ba  0.5000  0.0000  0.5000
Ba  0.5000  0.5000  0.0000
P  0.0000  0.0000  0.0000
P  0.5000  0.5000  0.5000

Output
Total moment, μB/cell: 0.000
Excess energy over the best structure of this formula in the dataset, meV/atom: 445
Calculated volume, Å³ per atom: 44.16
Formation energy from the elements, kJ per mole of atoms: -51.86

---

Question: Which value of calculated volume does entry 2 give?
Answer: 7.62 Å³ per atom

---

Question: Look up the calculated volume of the first one.
Answer: 44.16 Å³ per atom

---

Question: Which formula does entry 1 have?
Answer: Ba3P2